[1]
This record from Alexandria via LeMat-Bulk describes a relaxed LiCd2Pd8 crystal. The functional is PBE.

Geometry as POSCAR:
```
LiCd2Pd8
1.0
-1.925 4.097 5.831
1.925 -4.097 5.831
1.925 4.097 -5.831
Li Cd Pd
1 2 8
Direct
0.000 0.000 0.000
0.358 0.358 0.000
0.642 0.642 0.000
0.076 0.834 0.242
0.176 0.676 0.500
0.226 0.500 0.726
0.407 0.166 0.242
0.593 0.834 0.758
0.774 0.500 0.274
0.824 0.324 0.500
0.924 0.166 0.758
```

Output
Energy above the most stable polymorph in this dataset (eV/atom): 0.000
Energy of formation (eV per atom): -0.19
Density of states at the Fermi level (states/eV/atom): 0.823
Volume (Å³ per cell): 184
Total DFT energy (no corrections) (eV/atom): -4.307


[2]
This record from Alexandria via LeMat-Bulk describes a relaxed Er3PbS crystal. The functional is PBE.

Geometry as POSCAR:
```
Er3PbS
1.0
9.030 0.000 0.000
0.000 6.538 0.000
-3.956 0.000 9.111
Er Pb S
12 4 4
Direct
0.046 0.097 0.338
0.046 0.403 0.838
0.198 0.574 0.537
0.198 0.926 0.037
0.385 0.153 0.801
0.385 0.347 0.301
0.615 0.653 0.699
0.615 0.847 0.199
0.802 0.074 0.963
0.802 0.426 0.463
0.954 0.597 0.162
0.954 0.903 0.662
0.362 0.674 0.868
0.362 0.826 0.368
0.638 0.174 0.632
0.638 0.326 0.132
0.084 0.235 0.603
0.084 0.265 0.103
0.916 0.735 0.897
0.916 0.765 0.397
```

Output
Uncorrected formation energy (eV/f.u.): -4.6
Energy above the most stable polymorph in this dataset (eV/atom): 0.115
Density of states at the Fermi level (states/eV/atom): 0.881
Volume (Å³ per cell): 538
Total DFT energy (no corrections) (eV/atom): -5.217


[3]
This record from Alexandria via LeMat-Bulk describes a relaxed Sc2GaSi2Pd5 crystal. The functional is PBE.

Geometry as POSCAR:
```
Sc2GaSi2Pd5
1.0
9.677 0.000 0.000
0.000 9.677 0.000
0.000 0.000 3.480
Sc Ga Si Pd
4 2 4 10
Direct
0.174 0.326 0.000
0.326 0.826 0.000
0.674 0.174 0.000
0.826 0.674 0.000
0.000 0.000 0.000
0.500 0.500 0.000
0.128 0.628 0.000
0.372 0.128 0.000
0.628 0.872 0.000
0.872 0.372 0.000
0.000 0.500 0.500
0.058 0.793 0.500
0.207 0.058 0.500
0.293 0.558 0.500
0.442 0.293 0.500
0.500 0.000 0.500
0.558 0.707 0.500
0.707 0.442 0.500
0.793 0.942 0.500
0.942 0.207 0.500
```

Output
Uncorrected formation energy (eV/f.u.): -7.4
Density of states at the Fermi level (states/eV/atom): 0.703
Volume (Å³ per cell): 326
Total DFT energy (no corrections) (eV/atom): -5.989


[4]
This record from Alexandria via LeMat-Bulk describes a relaxed ThMgSnHg crystal. The functional is PBE.

Geometry as POSCAR:
```
ThMgSnHg
1.0
0.000 3.727 3.727
3.727 0.000 3.727
3.727 3.727 0.000
Th Mg Sn Hg
1 1 1 1
Direct
0.000 0.000 0.000
0.500 0.500 0.500
0.750 0.750 0.750
0.250 0.250 0.250
```

Output
Energy above the most stable polymorph in this dataset (eV/atom): 0.078
Energy of formation (eV per atom): -0.27
Density of states at the Fermi level (states/eV/atom): 0.900
Volume (Å³ per cell): 104
Total DFT energy (no corrections) (eV/atom): -3.601


[5]
This record from Alexandria via LeMat-Bulk describes a relaxed La2Y2I crystal. The functional is PBE.

Geometry as POSCAR:
```
La2Y2I
1.0
7.978 0.000 0.000
0.000 7.978 0.000
0.000 0.000 5.672
La Y I
4 4 2
Direct
0.141 0.359 0.000
0.359 0.859 0.000
0.641 0.141 0.000
0.859 0.641 0.000
0.149 0.649 0.500
0.351 0.149 0.500
0.649 0.851 0.500
0.851 0.351 0.500
0.000 0.000 0.500
0.500 0.500 0.500
```

Output
Uncorrected formation energy (eV/f.u.): -0.5
Density of states at the Fermi level (states/eV/atom): 1.714
Volume (Å³ per cell): 361
Total DFT energy (no corrections) (eV/atom): -4.961


[6]
This record from Alexandria via LeMat-Bulk describes a relaxed BaInF4 crystal. The functional is PBE.

Geometry as POSCAR:
```
BaInF4
1.0
3.885 -6.562 0.000
3.885 6.562 0.000
-2.061 0.000 4.174
Ba In F
2 2 8
Direct
0.134 0.866 0.750
0.866 0.134 0.250
0.422 0.578 0.250
0.578 0.422 0.750
0.128 0.264 0.878
0.185 0.567 0.415
0.264 0.128 0.378
0.433 0.815 0.085
0.567 0.185 0.915
0.736 0.872 0.622
0.815 0.433 0.585
0.872 0.736 0.122
```

Output
Uncorrected formation energy (eV/f.u.): -18.0
Density of states at the Fermi level (states/eV/atom): 0.155
Volume (Å³ per cell): 213
Total DFT energy (no corrections) (eV/atom): -5.024


[7]
This record from Alexandria via LeMat-Bulk describes a relaxed Ac2Zn2Au3 crystal. The functional is PBE.

Geometry as POSCAR:
```
Ac2Zn2Au3
1.0
5.574 -2.173 0.000
5.574 2.173 0.000
-2.963 0.000 6.909
Ac Zn Au
2 2 3
Direct
0.138 0.138 0.262
0.862 0.862 0.738
0.147 0.147 0.720
0.853 0.853 0.280
0.380 0.380 0.071
0.500 0.500 0.500
0.620 0.620 0.929
```

Output
Energy above the most stable polymorph in this dataset (eV/atom): 0.093
Energy of formation (eV per atom): -0.57
Density of states at the Fermi level (states/eV/atom): 0.726
Volume (Å³ per cell): 167
Total DFT energy (no corrections) (eV/atom): -3.510


[8]
This record from Alexandria via LeMat-Bulk describes a relaxed Al5Zn3 crystal. The functional is PBE.

Geometry as POSCAR:
```
Al5Zn3
1.0
4.774 0.000 0.000
-1.161 7.090 0.000
-1.397 -0.709 7.896
Al Zn
10 6
Direct
0.024 0.328 0.335
0.165 0.739 0.339
0.265 0.485 0.070
0.340 0.175 0.855
0.444 0.146 0.222
0.556 0.854 0.778
0.660 0.825 0.145
0.735 0.515 0.930
0.835 0.261 0.661
0.976 0.672 0.665
0.121 0.842 0.993
0.273 0.080 0.525
0.383 0.471 0.634
0.617 0.529 0.366
0.727 0.920 0.475
0.879 0.158 0.007
```

Output
Energy above the most stable polymorph in this dataset (eV/atom): 0.048
Energy of formation (eV per atom): 0.06
Density of states at the Fermi level (states/eV/atom): 0.275
Volume (Å³ per cell): 267
Total DFT energy (no corrections) (eV/atom): -2.753


[9]
This record from Alexandria via LeMat-Bulk describes a relaxed LiSmPa2N4 crystal. The functional is PBE.

Geometry as POSCAR:
```
LiSmPa2N4
1.0
1.773 -5.724 0.000
1.773 5.724 0.000
0.000 0.000 11.301
Li Sm Pa N
2 2 4 8
Direct
0.165 0.835 0.750
0.835 0.165 0.250
0.102 0.898 0.250
0.898 0.102 0.750
0.371 0.629 0.059
0.371 0.629 0.441
0.629 0.371 0.559
0.629 0.371 0.941
0.000 0.000 0.000
0.000 0.000 0.500
0.264 0.736 0.610
0.264 0.736 0.890
0.444 0.556 0.250
0.556 0.444 0.750
0.736 0.264 0.110
0.736 0.264 0.390
```

Output
Uncorrected formation energy (eV/f.u.): -11.0
Density of states at the Fermi level (states/eV/atom): 0.686
Volume (Å³ per cell): 229
Total DFT energy (no corrections) (eV/atom): -8.739


[10]
This record from Alexandria via LeMat-Bulk describes a relaxed ZrPbSCl2 crystal. The functional is PBE.

Geometry as POSCAR:
```
ZrPbSCl2
1.0
5.427 0.000 0.000
0.000 5.427 0.000
0.000 0.000 5.322
Zr Pb S Cl
1 1 1 2
Direct
0.000 0.000 0.000
0.500 0.500 0.500
0.500 0.500 0.000
0.000 0.500 0.500
0.500 0.000 0.500
```

Output
Uncorrected formation energy (eV/f.u.): 0.7
Energy above the most stable polymorph in this dataset (eV/atom): 0.841
Density of states at the Fermi level (states/eV/atom): 0.465
Volume (Å³ per cell): 157
Total DFT energy (no corrections) (eV/atom): -3.878


[11]
This record from Alexandria via LeMat-Bulk describes a relaxed CeAlRe crystal. The functional is PBE.

Geometry as POSCAR:
```
CeAlRe
1.0
-2.671 2.865 3.782
2.671 -2.865 3.782
2.671 2.865 -3.782
Ce Al Re
2 2 2
Direct
0.368 0.118 0.250
0.632 0.882 0.750
0.000 0.500 0.500
0.500 0.500 0.000
0.000 0.000 0.500
0.000 0.500 0.000
```

Output
Energy of formation (eV per atom): -0.28
Density of states at the Fermi level (states/eV/atom): 1.417
Volume (Å³ per cell): 116
Total DFT energy (no corrections) (eV/atom): -7.655


[12]
This record from Alexandria via LeMat-Bulk describes a relaxed TbGa4Au2 crystal. The functional is PBE.

Geometry as POSCAR:
```
TbGa4Au2
1.0
17.312 0.000 0.000
0.000 4.425 0.000
0.000 0.000 6.976
Tb Ga Au
4 16 8
Direct
0.142 0.250 0.021
0.358 0.750 0.521
0.642 0.250 0.479
0.858 0.750 0.979
0.039 0.750 0.859
0.063 0.250 0.464
0.182 0.750 0.331
0.187 0.750 0.737
0.313 0.250 0.237
0.318 0.250 0.831
0.437 0.750 0.964
0.461 0.250 0.359
0.539 0.750 0.641
0.563 0.250 0.036
0.682 0.750 0.169
0.687 0.750 0.763
0.813 0.250 0.263
0.818 0.250 0.669
0.937 0.750 0.536
0.961 0.250 0.141
0.032 0.750 0.242
0.215 0.250 0.540
0.285 0.750 0.040
0.468 0.250 0.742
0.532 0.750 0.258
0.715 0.250 0.960
0.785 0.750 0.460
0.968 0.250 0.758
```

Output
Energy of formation (eV per atom): -0.49
Density of states at the Fermi level (states/eV/atom): 0.319
Volume (Å³ per cell): 534
Total DFT energy (no corrections) (eV/atom): -3.813


[13]
This record from Alexandria via LeMat-Bulk describes a relaxed ReOs2Rh crystal. The functional is PBE.

Geometry as POSCAR:
```
ReOs2Rh
1.0
-1.947 1.947 3.808
1.947 -1.947 3.808
1.947 1.947 -3.808
Re Os Rh
1 2 1
Direct
0.000 0.000 0.000
0.250 0.750 0.500
0.750 0.250 0.500
0.500 0.500 0.000
```

Output
Energy above the most stable polymorph in this dataset (eV/atom): 0.006
Energy of formation (eV per atom): 0.04
Density of states at the Fermi level (states/eV/atom): 0.887
Volume (Å³ per cell): 58
Total DFT energy (no corrections) (eV/atom): -10.521


[14]
This record from Alexandria via LeMat-Bulk describes a relaxed AcCd5Ag7 crystal. The functional is PBE.

Geometry as POSCAR:
```
AcCd5Ag7
1.0
-2.853 4.966 4.926
2.853 -4.966 4.926
2.853 4.966 -4.926
Ac Cd Ag
1 5 7
Direct
0.000 0.000 0.000
0.489 0.494 0.497
0.489 0.993 0.995
0.774 0.274 0.500
0.997 0.494 0.005
0.997 0.993 0.503
0.210 0.710 0.500
0.212 0.493 0.719
0.345 0.993 0.352
0.352 0.352 0.000
0.640 0.993 0.648
0.648 0.648 0.000
0.774 0.493 0.281
```

Output
Energy of formation (eV per atom): -0.10
Density of states at the Fermi level (states/eV/atom): 0.403
Volume (Å³ per cell): 279
Total DFT energy (no corrections) (eV/atom): -2.303


[15]
This record from Alexandria via LeMat-Bulk describes a relaxed RhI3 crystal. The functional is PBE.

Geometry as POSCAR:
```
RhI3
1.0
-1.810 5.229 3.961
1.810 -5.229 3.961
1.810 5.229 -3.961
Rh I
1 3
Direct
0.000 0.000 0.000
0.035 0.366 0.668
0.257 0.757 0.500
0.698 0.366 0.332
```

Output
Uncorrected formation energy (eV/f.u.): 0.3
Density of states at the Fermi level (states/eV/atom): 0.569
Volume (Å³ per cell): 150
Total DFT energy (no corrections) (eV/atom): -2.930


[16]
This record from Alexandria via LeMat-Bulk describes a relaxed PrSm2Y3Ho6 crystal. The functional is PBE.

Geometry as POSCAR:
```
PrSm2Y3Ho6
1.0
3.094 -5.355 0.000
3.094 5.355 0.000
-2.054 0.000 11.634
Pr Sm Y Ho
1 2 3 6
Direct
0.000 0.000 0.000
0.333 0.667 0.000
0.667 0.333 0.000
0.167 0.833 0.500
0.500 0.500 0.500
0.833 0.167 0.500
0.085 0.418 0.252
0.249 0.249 0.748
0.418 0.085 0.252
0.582 0.915 0.748
0.751 0.751 0.252
0.915 0.582 0.748
```

Output
Energy of formation (eV per atom): 0.02
Density of states at the Fermi level (states/eV/atom): 1.380
Volume (Å³ per cell): 386
Total DFT energy (no corrections) (eV/atom): -5.070


[17]
This record from Alexandria via LeMat-Bulk describes a relaxed Tb4Pm crystal. The functional is PBE.

Geometry as POSCAR:
```
Tb4Pm
1.0
3.099 -1.790 0.000
3.099 1.790 0.000
-2.036 0.000 14.564
Tb Pm
4 1
Direct
0.099 0.099 0.298
0.300 0.300 0.901
0.700 0.700 0.099
0.901 0.901 0.702
0.500 0.500 0.500
```

Output
Energy above the most stable polymorph in this dataset (eV/atom): 0.000
Energy of formation (eV per atom): 0.01
Density of states at the Fermi level (states/eV/atom): 1.255
Volume (Å³ per cell): 162
Total DFT energy (no corrections) (eV/atom): -4.641


[18]
This record from Alexandria via LeMat-Bulk describes a relaxed EuAgHgGe crystal. The functional is PBE.

Geometry as POSCAR:
```
EuAgHgGe
1.0
0.000 3.568 3.568
3.568 0.000 3.568
3.568 3.568 0.000
Eu Ag Hg Ge
1 1 1 1
Direct
0.000 0.000 0.000
0.500 0.500 0.500
0.250 0.250 0.250
0.750 0.750 0.750
```

Output
Energy of formation (eV per atom): -0.28
Density of states at the Fermi level (states/eV/atom): 1.552
Volume (Å³ per cell): 91
Total DFT energy (no corrections) (eV/atom): -4.789


[19]
This record from Alexandria via LeMat-Bulk describes a relaxed ZrNi2Ge crystal. The functional is PBE.

Geometry as POSCAR:
```
ZrNi2Ge
1.0
-1.960 1.960 8.364
1.960 -1.960 8.364
1.960 1.960 -8.364
Zr Ni Ge
2 4 2
Direct
0.000 0.000 0.000
0.750 0.250 0.500
0.174 0.625 0.049
0.375 0.424 0.549
0.576 0.125 0.951
0.875 0.826 0.451
0.250 0.750 0.500
0.500 0.500 0.000
```

Output
Energy of formation (eV per atom): -0.15
Density of states at the Fermi level (states/eV/atom): 0.580
Volume (Å³ per cell): 129
Total DFT energy (no corrections) (eV/atom): -6.329


[20]
This record from Alexandria via LeMat-Bulk describes a relaxed Ce2HoPaAs5 crystal. The functional is PBE.

Geometry as POSCAR:
```
Ce2HoPaAs5
1.0
5.101 0.000 0.000
0.000 5.101 0.000
0.000 0.000 10.850
Ce Ho Pa As
2 1 1 5
Direct
0.000 0.000 0.222
0.000 0.000 0.778
0.500 0.500 0.500
0.500 0.500 0.000
0.000 0.000 0.500
0.000 0.500 0.000
0.500 0.000 0.000
0.500 0.500 0.254
0.500 0.500 0.746
```

Output
Energy of formation (eV per atom): -0.59
Density of states at the Fermi level (states/eV/atom): 1.832
Volume (Å³ per cell): 282
Total DFT energy (no corrections) (eV/atom): -6.057